Below is an optimized crystal structure of BaSrMg6, with properties calculated at the PBE-GGA level.

Properties
Energy of formation   0.54 eV/f.u.
Final energy   -25.25 eV/cell

Cell: 5.2169 7.7783 12.7970 Å, 90.00 90.00 90.00°
With the nearest neighbours (Å) after each atom.
Fractional coordinates of all 16 atoms:
Ba1 0.0000 0.0000 0.0000  12 Mg 3.60-3.99, 2 Sr 3.99
Ba2 0.0000 0.5000 0.5000  12 Mg 3.60-3.99, 2 Sr 3.99
Sr1 0.0000 0.0000 0.4293  10 Mg 3.57-3.94, 2 Ba 3.99
Sr2 0.0000 0.5000 0.9293  10 Mg 3.57-3.94, 2 Ba 3.99
Mg1 0.0000 0.1971 0.7125  5 Mg 3.07-3.22
Mg2 0.0000 0.3029 0.2125  5 Mg 3.07-3.22
Mg3 0.0000 0.6971 0.2125  5 Mg 3.07-3.22
Mg4 0.0000 0.8029 0.7125  5 Mg 3.07-3.22
Mg5 0.5000 0.0000 0.2324  2 Mg 3.09
Mg6 0.5000 0.0000 0.7983  6 Mg 3.22
Mg7 0.5000 0.1970 0.5768  5 Mg 3.06-3.22
Mg8 0.5000 0.3030 0.0768  5 Mg 3.06-3.22
Mg9 0.5000 0.5000 0.2983  6 Mg 3.22
Mg10 0.5000 0.5000 0.7324  2 Mg 3.09
Mg11 0.5000 0.6970 0.0768  5 Mg 3.06-3.22
Mg12 0.5000 0.8030 0.5768  5 Mg 3.06-3.22



Below is an optimized crystal structure of Mg3ScRh, with properties calculated at the PBE-GGA level.

Properties
Energy of formation   7.35 eV/f.u.
Final energy   -11.11 eV/cell

Cell: 5.2699 5.2699 5.2699 Å, 90.00 90.00 90.00°
With the nearest neighbours (Å) after each atom.
Fractional coordinates of all 5 atoms:
Mg1 0.0000 0.0000 0.5000  2 Sc 2.63
Mg2 0.0000 0.5000 0.0000  2 Sc 2.63
Mg3 0.5000 0.0000 0.0000  2 Sc 2.63
Sc1 0.0000 0.0000 0.0000  6 Mg 2.63
Rh1 0.5000 0.5000 0.5000  12 Mg 3.73



Below is an optimized crystal structure of BaTl3F, with properties calculated at the PBE-GGA level.

Properties
Final energy   -9.58 eV/cell

Cell: 6.7135 6.7135 6.7135 Å, 90.00 90.00 90.00°
With the nearest neighbours (Å) after each atom.
Fractional coordinates of all 5 atoms:
Ba1 0.0000 0.0000 0.0000  6 Tl 3.36
Tl1 0.0000 0.0000 0.5000  2 Ba 3.36
Tl2 0.0000 0.5000 0.0000  2 Ba 3.36
Tl3 0.5000 0.0000 0.0000  2 Ba 3.36
F1 0.5000 0.5000 0.5000  12 Tl 4.75



Below is an optimized crystal structure of NbH2PtI, with properties calculated at the PBE-GGA level.

Properties
Final energy   -20.44 eV/cell

Cell: 3.8752 3.8752 5.5019 Å, 90.00 90.00 90.00°
With the nearest neighbours (Å) after each atom.
Fractional coordinates of all 5 atoms:
Nb1 0.0000 0.0000 0.0000  4 I 2.74
H1 0.0000 0.5000 0.5000  2 Pt 1.94
H2 0.5000 0.0000 0.5000  2 Pt 1.94
Pt1 0.5000 0.5000 0.5000  4 H 1.94
I1 0.5000 0.5000 0.0000  4 Nb 2.74, 2 Pt 2.75



Below is an optimized crystal structure of NbSiNi3, with properties calculated at the PBE-GGA level.

Properties
Final energy   -68.89 eV/cell

Cell: 5.7817 5.7817 5.7817 Å, 132.18 110.07 89.17°
With the nearest neighbours (Å) after each atom.
Fractional coordinates of all 10 atoms:
Nb1 0.2545 0.0045 0.2500  7 Ni 2.59-2.76, 4 Si 2.87
Nb2 0.7455 0.9955 0.7500  7 Ni 2.59-2.76, 4 Si 2.87
Si1 0.0000 0.5000 0.5000  6 Ni 2.23-2.41
Si2 0.5000 0.5000 0.0000  6 Ni 2.23-2.41
Ni1 0.1837 0.0000 0.6837  5 Ni 2.34-2.47, 2 Si 2.41
Ni2 0.1837 0.5000 0.1837  5 Ni 2.34-2.47, 2 Si 2.41
Ni3 0.4306 0.6806 0.7500  2 Si 2.23, 4 Ni 2.47
Ni4 0.5694 0.3194 0.2500  2 Si 2.23, 4 Ni 2.47
Ni5 0.8163 0.0000 0.3163  5 Ni 2.34-2.47, 2 Si 2.41
Ni6 0.8163 0.5000 0.8163  5 Ni 2.34-2.47, 2 Si 2.41



Below is an optimized crystal structure of LaFe2Pb, with properties calculated at the PBE-GGA level.

Properties
Energy of formation   2.70 eV/f.u.
Final energy   -68.57 eV/cell

Cell: 3.5598 3.5598 23.7974 Å, 90.00 90.00 120.00°
With the nearest neighbours (Å) after each atom.
Fractional coordinates of all 12 atoms:
La1 0.0000 0.0000 0.0000  6 Fe 2.92
La2 0.3333 0.6667 0.6667  6 Fe 2.92
La3 0.6667 0.3333 0.3333  6 Fe 2.92
Fe1 0.0000 0.0000 0.2462  3 Pb 2.79, 3 La 2.92
Fe2 0.0000 0.0000 0.7538  3 Pb 2.79, 3 La 2.92
Fe3 0.3333 0.6667 0.4205  3 Pb 2.79, 3 La 2.92
Fe4 0.3333 0.6667 0.9129  3 Pb 2.79, 3 La 2.92
Fe5 0.6667 0.3333 0.0871  3 Pb 2.79, 3 La 2.92
Fe6 0.6667 0.3333 0.5795  3 Pb 2.79, 3 La 2.92
Pb1 0.0000 0.0000 0.5000  6 Fe 2.79
Pb2 0.3333 0.6667 0.1667  6 Fe 2.79
Pb3 0.6667 0.3333 0.8333  6 Fe 2.79



Below is an optimized crystal structure of Ac2EuGe, with properties calculated at the PBE-GGA level.

Properties
Energy of formation   -0.98 eV/f.u.
Final energy   -72.27 eV/cell

Cell: 4.3994 4.3994 30.5772 Å, 90.00 90.00 120.00°
With the nearest neighbours (Å) after each atom.
Fractional coordinates of all 12 atoms:
Ac1 0.0000 0.0000 0.2260  3 Ge 3.12
Ac2 0.0000 0.0000 0.7740  3 Ge 3.12
Ac3 0.3333 0.6667 0.4407  3 Ge 3.12
Ac4 0.3333 0.6667 0.8926  3 Ge 3.12
Ac5 0.6667 0.3333 0.1074  3 Ge 3.12
Ac6 0.6667 0.3333 0.5593  3 Ge 3.12
Eu1 0.0000 0.0000 0.0000  6 Ac 4.15, 6 Eu 4.40
Eu2 0.3333 0.6667 0.6667  6 Ac 4.15, 6 Eu 4.40
Eu3 0.6667 0.3333 0.3333  6 Ac 4.15, 6 Eu 4.40
Ge1 0.0000 0.0000 0.5000  6 Ac 3.12
Ge2 0.3333 0.6667 0.1667  6 Ac 3.12
Ge3 0.6667 0.3333 0.8333  6 Ac 3.12



Below is an optimized crystal structure of KSrI2N, with properties calculated at the PBE-GGA level.

Properties
Final energy   -16.92 eV/cell

Cell: 6.5577 6.5577 5.1304 Å, 90.00 90.00 90.00°
With the nearest neighbours (Å) after each atom.
Fractional coordinates of all 5 atoms:
K1 0.0000 0.0000 0.0000  8 I 4.16, 4 N 4.64
Sr1 0.5000 0.5000 0.5000  2 N 2.57
I1 0.0000 0.5000 0.5000  2 Sr 3.28
I2 0.5000 0.0000 0.5000  2 Sr 3.28
N1 0.5000 0.5000 0.0000  2 Sr 2.57